(1)
MnGaPH | PBE-GGA | optimized geometry

Lattice parameters (Å, degrees): 3.0326 4.0593 4.5961 92.25 109.26 111.93
Positions (direct):
P1 0.0236 0.7503 0.8197
Mn1 0.6949 0.1535 0.7591
Ga1 0.0301 0.2557 0.3277
H1 0.3931 0.8763 0.4319

Results
Its space group is Cm. For the relative energy among the computed polymorphs, the calculation gives 0.05 eV per formula unit. Its magnetization is 0.00 μB/f.u.

---

(2)
MnGaPH | PBE-GGA | optimized geometry

Lattice parameters (Å, degrees): 4.1912 2.9063 7.7079 90.00 101.04 90.00
Positions (direct):
Mn1 0.6862 0.0000 0.3723
Mn2 0.6862 0.5000 0.8723
Ga1 0.2234 0.0000 0.9317
Ga2 0.2234 0.5000 0.4317
P1 0.7550 0.0000 0.6655
P2 0.7550 0.5000 0.1655
H1 0.3577 0.0000 0.2312
H2 0.3577 0.5000 0.7312

Results
Its space group is Cm. For the relative energy among the computed polymorphs, the calculation gives 0.29 eV per formula unit. Its magnetization is 0.00 μB/f.u.